Entry from the Alexandria database: crystalline SmPaNi2O6 at its relaxed geometry (PBE with a Hubbard U).

a = 5.5323 Å, b = 5.5311 Å, c = 5.7991 Å
α = 61.50°, β = 61.51°, γ = 59.99°
Each line ends with the local moment (μB).
Positions (direct):
Sm1 0.8014 0.8014 0.5956  0.00
O1 0.1520 0.3719 0.7502  0.06
O2 0.3718 0.7262 0.7500  0.06
O3 0.6285 0.2402 0.2368  0.06
O4 0.7260 0.1520 0.7502  0.06
O5 0.2401 0.8946 0.2368  0.06
O6 0.8947 0.6282 0.2370  0.06
Ni1 0.5207 0.5208 0.4377  1.77
Ni2 0.0149 0.0149 0.9555  1.76
Pa1 0.3116 0.3115 0.0654  0.03

Results
Mass density in g cm⁻³: 7.701
Magnetization in Bohr magnetons per cell: 4.00
E in Ha/atom: -0.27287